Computed, not measured: AcPmLu4 after structural relaxation at the GGA-PBE level of DFT.

The energy of formation from the pure elements is 0.2609 eV/atom. For the size of the total moment, the calculation gives 1.02 μB/atom. Its calculated total energy is -4.23 eV/atom.

The space group is F-43m (No. 216) and the conventional cell measures 9.466, 9.466 and 9.466 Å, with angles of 90.00, 90.00 and 90.00 degrees. The distinct sites, in fractional coordinates, are Ac at (0.000, 0.000, 0.000), Pm at (0.250, 0.250, 0.250) and Lu at (0.125, 0.125, 0.625).